[1]
VASP calculation (PBE-GGA) on a geometry-optimized CdNiMo2 structure.

The value obtained for the total energy is -0.49405 Ry/atom. As for the calculated density: 9.67 g/cm³.

The space group is C2/m (No. 12) and the conventional cell measures 5.2420, 9.0004 and 2.6723 Å, with angles of 90.00, 98.73 and 90.00 degrees. Symmetry generates all atoms from Cd at (0.0000, 0.0000, 0.0000), Ni at (0.0000, 0.5000, 0.0000) and Mo at (0.2500, 0.2500, 0.5000).

[2]
VASP calculation (PBE-GGA) on a geometry-optimized Sc2SiF structure.

Its energy above the most stable polymorph in this dataset is 0 meV per atom. The value obtained for the total energy is -0.48118 Ry/atom. As for the raw formation energy: -1557.4 meV/atom. As for the calculated density: 2.38 g/cm³.

The space group is R-3m (No. 166, hexagonal axes) and the conventional cell measures 4.1017, 4.1017 and 19.6857 Å, with angles of 90.00, 90.00 and 120.00 degrees. Symmetry generates all atoms from Sc at (0.0000, 0.0000, 0.1039), Si at (0.0000, 0.0000, 0.5000) and F at (0.0000, 0.0000, 0.0000).

[3]
VASP calculation (PBE-GGA) on a geometry-optimized KHoPuI6 structure.

The value obtained for the total energy is -0.33385 Ry/atom. As for the raw formation energy: -1285.8 meV/atom. As for the calculated density: 4.63 g/cm³.

The space group is P-31c (No. 163) and the conventional cell measures 7.9735, 7.9735 and 15.7514 Å, with angles of 90.00, 90.00 and 120.00 degrees. Symmetry generates all atoms from K at (0.0000, 0.0000, 0.0000), Ho at (0.3333, 0.6667, 0.2500), Pu at (0.3333, 0.6667, 0.7500) and I at (0.0155, 0.3696, 0.1359).